No. 1
{
  "formula": "PmGePd6",
  "functional": "PBE",
  "state": "optimized geometry",
  "total_magnetization_mub_per_atom": 0.00,
  "de_polymorph_mev_per_atom": 261,
  "formation_enthalpy_0k_ev_per_atom": -0.3104,
  "cell": [[5.5583, 0.0000, 0.0000], [2.7792, 4.8137, 0.0000], [2.7792, 1.6046, 6.1993]],
  "species": ["Pd", "Pd", "Pd", "Pd", "Pd", "Pd", "Pm", "Ge"],
  "frac_coords": [[0.9223, 0.9223, 0.7176], [0.0777, 0.5622, 0.2824], [0.9223, 0.4378, 0.7176], [0.4378, 0.9223, 0.7176], [0.0777, 0.0777, 0.2824], [0.5622, 0.0777, 0.2824], [0.5000, 0.5000, 0.5000], [0.0000, 0.0000, 0.0000]]
}


No. 2
{
  "formula": "RbCo3Bi",
  "functional": "PBE",
  "state": "optimized geometry",
  "total_magnetization_mub_per_atom": 0.85,
  "de_polymorph_mev_per_atom": 1025,
  "formation_enthalpy_0k_ev_per_atom": 2.2496,
  "cell": [[-1.4144, -0.2941, 4.5290], [-4.3882, -1.1225, -1.4433], [1.1587, -4.6101, 0.0625]],
  "species": ["Rb", "Co", "Co", "Co", "Bi"],
  "frac_coords": [[0.0000, 0.0000, 0.0000], [0.5000, 0.0000, 0.0000], [0.0000, 0.0000, 0.5000], [0.0000, 0.5000, 0.0000], [0.5000, 0.5000, 0.5000]]
}


No. 3
{
  "formula": "Pm8Pr3Ho2",
  "functional": "PBE",
  "state": "optimized geometry",
  "total_magnetization_mub_per_atom": 0.00,
  "de_polymorph_mev_per_atom": 0,
  "formation_enthalpy_0k_ev_per_atom": 0.1525,
  "cell": [[-5.8417, -2.1042, -0.5244], [-0.1512, -8.1862, 3.4950], [-4.2580, 2.2182, 7.4967]],
  "species": ["Pm", "Pm", "Pm", "Pm", "Pm", "Pm", "Pm", "Pm", "Pr", "Pr", "Pr", "Ho", "Ho"],
  "frac_coords": [[0.7848, 0.4435, 0.4435], [0.9501, 0.1560, 0.1560], [0.0499, 0.8440, 0.8440], [0.6754, 0.0815, 0.5692], [0.6754, 0.5692, 0.0815], [0.3246, 0.4308, 0.9185], [0.2152, 0.5565, 0.5565], [0.3246, 0.9185, 0.4308], [0.0000, 0.2427, 0.7573], [0.0000, 0.7573, 0.2427], [0.5000, 0.0000, 0.0000], [0.6424, 0.7107, 0.7107], [0.3576, 0.2893, 0.2893]]
}